DFT (PBE with a Hubbard U) results for a relaxed RbNdCoO3 crystal.

Computed properties:
symmetry = No. 63
calculated total energy = -6.27 eV/atom

Lattice parameters (Å, degrees): 6.420 6.420 9.491 90.00 90.00 32.74
Site moments in Bohr magnetons follow the coordinates.
Atoms (fractional coordinates):
Nd 0.000 0.000 0.500  0.00
Nd 0.000 0.000 0.000  0.00
Co 0.539 0.539 0.750  2.57
Co 0.461 0.461 0.250  2.57
O 0.045 0.045 0.250  0.11
O 0.388 0.388 0.071  0.09
O 0.612 0.612 0.571  0.09
O 0.388 0.388 0.429  0.09
O 0.955 0.955 0.750  0.11
O 0.612 0.612 0.929  0.09
Rb 0.265 0.265 0.750  0.00
Rb 0.735 0.735 0.250  0.00